Record 1
# PBE YAsIr3, relaxed
# Density of states at the Fermi level (states/eV/cell): 10.1
# Formation energy from the elements (eV per atom): 0.165
# Energy (eV per cell): -36.87
# Crystal system: cubic
data_YAsIr3
_chemical_formula_sum 'Y1 As1 Ir3'
_symmetry_space_group_name_H-M 'P m -3 m'
_symmetry_Int_Tables_number 221
_symmetry_space_group_name_Hall '-P 4 2 3'
_cell_length_a 4.623
_cell_length_b 4.623
_cell_length_c 4.623
_cell_angle_alpha 90.00
_cell_angle_beta 90.00
_cell_angle_gamma 90.00
loop_
_atom_site_label
_atom_site_type_symbol
_atom_site_fract_x
_atom_site_fract_y
_atom_site_fract_z
Y1 Y 0.000 0.000 0.000
As1 As 0.500 0.500 0.500
Ir1 Ir 0.000 0.500 0.500

***

Record 2
# PBE Al2CuCl, relaxed
# Density of states at the Fermi level (states/eV/cell): 3.2
# ΔE_f (raw) (meV/atom): 30.0
# Energy (eV per cell): -26.62
# ΔE to the lowest computed polymorph (eV per atom): 0.256
# Crystal system: orthorhombic
data_Al2CuCl
_chemical_formula_sum 'Al4 Cu2 Cl2'
_symmetry_space_group_name_H-M 'I m m 2'
_symmetry_Int_Tables_number 44
_cell_length_a 2.872
_cell_length_b 4.838
_cell_length_c 9.928
_cell_angle_alpha 90.00
_cell_angle_beta 90.00
_cell_angle_gamma 90.00
loop_
_symmetry_equiv_pos_as_xyz
'x,y,z'
'-x,-y,z'
'-x,y,z'
'x,-y,z'
'x+1/2,y+1/2,z+1/2'
'-x+1/2,-y+1/2,z+1/2'
'-x+1/2,y+1/2,z+1/2'
'x+1/2,-y+1/2,z+1/2'
loop_
_atom_site_label
_atom_site_type_symbol
_atom_site_fract_x
_atom_site_fract_y
_atom_site_fract_z
Al1 Al 0.000 0.000 0.000
Al2 Al 0.000 0.500 0.248
Cu1 Cu 0.000 0.000 0.539
Cl1 Cl 0.000 0.500 0.797